(1)
The following is a PBE-GGA calculation of crystalline ScFe2Os at its relaxed geometry, from Alexandria.

Lattice parameters (Å, degrees): 4.3088 4.3088 4.3088 60.00 60.00 60.00
Atoms (fractional coordinates):
Sc (0.0000, 0.0000, 0.0000)
Fe (0.2500, 0.2500, 0.2500)
Fe (0.5000, 0.5000, 0.5000)
Os (0.7500, 0.7500, 0.7500)

Calculated values
For the formation energy, the calculation gives 0.08 eV per atom. The final energy is -34.17 eV per cell. The calculation puts the density of states at the Fermi level at 5.71 states/eV per cell. The value obtained for the excess energy over the best structure of this formula in the dataset is 86 meV per atom.

***

(2)
The following is a PBE-GGA calculation of crystalline PmTm2Mn at its relaxed geometry, from Alexandria.

Lattice parameters (Å, degrees): 11.3625 11.3625 11.3625 17.05 17.05 17.05
Atoms (fractional coordinates):
Pm (0.0000, 0.0000, 0.0000)
Tm (0.1014, 0.1014, 0.1014)
Tm (0.8986, 0.8986, 0.8986)
Mn (0.5000, 0.5000, 0.5000)

Calculated values
For the formation energy, the calculation gives 0.35 eV per atom. The final energy is -21.45 eV per cell. The calculation puts the density of states at the Fermi level at 5.18 states/eV per cell. The value obtained for the excess energy over the best structure of this formula in the dataset is 252 meV per atom.

***

(3)
The following is a PBE-GGA calculation of crystalline HfSb2 at its relaxed geometry, from Alexandria.

Lattice parameters (Å, degrees): 6.1710 7.3101 3.8893 90.00 90.00 90.00
Atoms (fractional coordinates):
Hf (0.0000, 0.0000, 0.0000)
Hf (0.5000, 0.5000, 0.5000)
Sb (0.1801, 0.3737, 0.0000)
Sb (0.3199, 0.8737, 0.5000)
Sb (0.6801, 0.1263, 0.5000)
Sb (0.8199, 0.6263, 0.0000)

Calculated values
The final energy is -36.95 eV per cell. The calculation puts the density of states at the Fermi level at 3.36 states/eV per cell. The value obtained for the uncorrected formation energy is -0.092 eV per atom.

***

(4)
The following is a PBE-GGA calculation of crystalline Na6In23Hg at its relaxed geometry, from Alexandria.

Lattice parameters (Å, degrees): 10.6162 10.6162 10.6162 60.00 60.00 60.00
Atoms (fractional coordinates):
Na (0.2178, 0.2178, 0.7822)
Na (0.2178, 0.7822, 0.2178)
Na (0.2178, 0.7822, 0.7822)
Na (0.7822, 0.2178, 0.2178)
Na (0.7822, 0.2178, 0.7822)
Na (0.7822, 0.7822, 0.2178)
In (0.0000, 0.0000, 0.5000)
In (0.0000, 0.5000, 0.0000)
In (0.0000, 0.5000, 0.5000)
In (0.1379, 0.6207, 0.6207)
In (0.1624, 0.1624, 0.1624)
In (0.1624, 0.1624, 0.5129)
In (0.1624, 0.5129, 0.1624)
In (0.3793, 0.3793, 0.3793)
In (0.3793, 0.3793, 0.8621)
In (0.3793, 0.8621, 0.3793)
In (0.4871, 0.8376, 0.8376)
In (0.5000, 0.0000, 0.0000)
In (0.5000, 0.0000, 0.5000)
In (0.5000, 0.5000, 0.0000)
In (0.5000, 0.5000, 0.5000)
In (0.5129, 0.1624, 0.1624)
In (0.6207, 0.1379, 0.6207)
In (0.6207, 0.6207, 0.1379)
In (0.6207, 0.6207, 0.6207)
In (0.8376, 0.4871, 0.8376)
In (0.8376, 0.8376, 0.4871)
In (0.8376, 0.8376, 0.8376)
In (0.8621, 0.3793, 0.3793)
Hg (0.0000, 0.0000, 0.0000)

Calculated values
For the formation energy, the calculation gives -0.04 eV per atom. The final energy is -72.47 eV per cell. The calculation puts the density of states at the Fermi level at 8.28 states/eV per cell.

***

(5)
The following is a PBE-GGA calculation of crystalline BaCeZnS4 at its relaxed geometry, from Alexandria.

Lattice parameters (Å, degrees): 6.5465 6.5333 8.5824 90.00 108.08 90.00
Atoms (fractional coordinates):
Ba (0.2466, 0.2500, 0.4402)
Ba (0.7534, 0.7500, 0.5598)
Ce (0.2691, 0.2500, 0.9438)
Ce (0.7309, 0.7500, 0.0562)
Zn (0.2686, 0.7500, 0.1754)
Zn (0.7314, 0.2500, 0.8246)
S (0.0443, 0.7500, 0.9110)
S (0.0709, 0.7500, 0.3542)
S (0.4803, 0.5132, 0.7839)
S (0.4803, 0.9868, 0.7839)
S (0.5197, 0.0132, 0.2161)
S (0.5197, 0.4868, 0.2161)
S (0.9291, 0.2500, 0.6458)
S (0.9557, 0.2500, 0.0890)

Calculated values
The final energy is -72.89 eV per cell. The calculation puts the density of states at the Fermi level at 3.80 states/eV per cell. The value obtained for the uncorrected formation energy is -1.543 eV per atom.

***

(6)
The following is a PBE-GGA calculation of crystalline UMn2Be at its relaxed geometry, from Alexandria.

Lattice parameters (Å, degrees): 3.9492 3.9492 3.3467 90.00 90.00 90.00
Atoms (fractional coordinates):
U (0.0000, 0.0000, 0.0000)
Mn (0.0000, 0.5000, 0.5000)
Mn (0.5000, 0.0000, 0.5000)
Be (0.5000, 0.5000, 0.0000)

Calculated values
For the formation energy, the calculation gives 0.00 eV per atom. The final energy is -33.37 eV per cell. The calculation puts the density of states at the Fermi level at 3.42 states/eV per cell. The value obtained for the excess energy over the best structure of this formula in the dataset is 0 meV per atom.

***

- The highest final energy belongs to which entry?
  PmTm2Mn

***

- Look up the final energy of the fourth one.
  -72.47 eV per cell